(1)
## HfAsPb2I (PBE)

Data for crystalline HfAsPb2I at its relaxed geometry.

Output
- magnetic moment (μB/atom) = 0.00
- symmetry = No. 123
- E_form (uncorrected) (meV/atom) = 1191

The structure in POSCAR format:
```
HfAsPb2I
1.0
-1.1569 -5.3913 2.1853
-1.2488 -1.6904 -4.8313
5.6450 -1.5789 -0.9067
Pb As Hf I
2 1 1 1
Direct
0.0000 0.0000 0.5000 Pb
0.5000 0.0000 0.0000 Pb
0.5000 0.5000 0.5000 As
0.0000 0.5000 0.0000 Hf
0.0000 0.0000 0.0000 I
```

(2)
## YTaNb3 (PBE)

Data for crystalline YTaNb3 at its relaxed geometry.

Output
- E_form (eV/atom) = 2.150
- magnetic moment (μB/atom) = 0.00
- symmetry = No. 221

The structure in POSCAR format:
```
YTaNb3
1.0
4.8545 0.0000 0.0000
0.0000 4.8545 0.0000
0.0000 0.0000 4.8545
Nb Ta Y
3 1 1
Direct
0.5000 0.0000 0.0000 Nb
0.0000 0.5000 0.0000 Nb
0.0000 0.0000 0.5000 Nb
0.5000 0.5000 0.5000 Ta
0.0000 0.0000 0.0000 Y
```

(3)
## Li2Mg4Tl5 (PBE)

Data for crystalline Li2Mg4Tl5 at its relaxed geometry.

Output
- E_form (eV/atom) = -0.046
- magnetic moment (μB/atom) = 0.00
- symmetry = No. 12

The structure in POSCAR format:
```
Li2Mg4Tl5
1.0
3.2467 0.0000 -0.9274
-0.1455 7.2934 -0.5094
1.3980 0.2320 11.0406
Mg Tl Li
4 5 2
Direct
0.9592 0.6629 0.9184 Mg
0.7309 0.8124 0.4619 Mg
0.2691 0.1876 0.5381 Mg
0.0408 0.3371 0.0816 Mg
0.8630 0.9769 0.7260 Tl
0.1743 0.4791 0.3486 Tl
0.8257 0.5209 0.6514 Tl
0.1370 0.0231 0.2740 Tl
0.5000 0.0000 0.0000 Tl
0.4173 0.3109 0.8345 Li
0.5827 0.6891 0.1655 Li
```

(4)
## Pr3Nd2Se4 (PBE)

Data for crystalline Pr3Nd2Se4 at its relaxed geometry.

Output
- magnetic moment (μB/atom) = 0.00
- symmetry = No. 12
- E_form (uncorrected) (meV/atom) = -1602

The structure in POSCAR format:
```
Pr3Nd2Se4
1.0
-1.7264 -3.6768 -1.1752
5.4592 -4.2038 -2.4747
2.1257 -5.7004 7.1047
Se Pr Nd
4 3 2
Direct
0.1986 0.9091 0.6937 Se
0.6022 0.6957 0.1000 Se
0.8014 0.0909 0.3063 Se
0.3978 0.3043 0.9000 Se
0.2014 0.3923 0.2050 Pr
0.0000 0.0000 0.0000 Pr
0.7986 0.6077 0.7950 Pr
0.5982 0.2024 0.6012 Nd
0.4018 0.7976 0.3988 Nd
```

(5)
## NaHf3Zr (PBE)

Data for crystalline NaHf3Zr at its relaxed geometry.

Output
- E_form (eV/atom) = 1.205
- magnetic moment (μB/atom) = 0.00
- symmetry = No. 221

The structure in POSCAR format:
```
NaHf3Zr
1.0
5.2508 0.0000 0.0000
0.0000 5.2508 0.0000
0.0000 0.0000 5.2508
Hf Na Zr
3 1 1
Direct
0.0000 0.0000 0.5000 Hf
0.0000 0.5000 0.0000 Hf
0.5000 0.0000 0.0000 Hf
0.5000 0.5000 0.5000 Na
0.0000 0.0000 0.0000 Zr
```

(6)
## Th4Ge2OsSe (PBE)

Data for crystalline Th4Ge2OsSe at its relaxed geometry.

Output
- magnetic moment (μB/atom) = 0.00
- symmetry = No. 10
- E_form (uncorrected) (meV/atom) = -835

The structure in POSCAR format:
```
Th4Ge2OsSe
1.0
4.2628 0.0000 0.0000
0.0000 7.4429 0.1341
0.0000 -2.5959 6.8479
Th Se Ge Os
4 1 2 1
Direct
0.5000 0.2634 0.2473 Th
0.0000 0.7286 0.2344 Th
0.0000 0.2714 0.7656 Th
0.5000 0.7366 0.7527 Th
0.0000 0.0000 0.0000 Se
0.5000 0.0000 0.5000 Ge
0.0000 0.5000 0.5000 Ge
0.5000 0.5000 0.0000 Os
```

(7)
## Sm5Co2Hg2 (PBE)

Data for crystalline Sm5Co2Hg2 at its relaxed geometry.

Output
- E_form (eV/atom) = -0.255
- magnetic moment (μB/atom) = 0.00
- symmetry = No. 64

The structure in POSCAR format:
```
Sm5Co2Hg2
1.0
6.9629 0.0000 2.5275
0.0000 7.6378 0.0000
0.7067 0.0000 8.9078
Sm Co Hg
10 4 4
Direct
0.9411 0.3190 0.7587 Sm
0.0000 0.0000 0.0000 Sm
0.6998 0.3190 0.2413 Sm
0.8002 0.8190 0.7587 Sm
0.4411 0.1810 0.7587 Sm
0.5000 0.5000 0.0000 Sm
0.0589 0.6810 0.2413 Sm
0.3002 0.6810 0.7587 Sm
0.1998 0.1810 0.2413 Sm
0.5589 0.8190 0.2413 Sm
0.1078 0.3885 0.0000 Co
0.8922 0.6115 0.0000 Co
0.3922 0.8885 0.0000 Co
0.6078 0.1115 0.0000 Co
0.7198 0.5000 0.5605 Hg
0.7802 0.0000 0.4395 Hg
0.2198 0.0000 0.5605 Hg
0.2802 0.5000 0.4395 Hg
```

(8)
## BeIn2Hg (PBE)

Data for crystalline BeIn2Hg at its relaxed geometry.

Output
- E_form (eV/atom) = 0.338
- magnetic moment (μB/atom) = 0.00
- symmetry = No. 65

The structure in POSCAR format:
```
BeIn2Hg
1.0
-0.1784 2.8587 -1.5349
0.8929 -1.8056 -2.5499
-7.9981 -1.4512 -1.7731
In Be Hg
2 1 1
Direct
0.0000 0.0000 0.0480 In
0.0000 0.0000 0.4520 In
0.5000 0.5000 0.2500 Be
0.5000 0.5000 0.7500 Hg
```

Look up the magnetic moment of the seventh one.
0.00 μB/atom

What is the formula in the sixth record?
Th4Ge2OsSe